#a
This record from Alexandria describes a geometry-optimized Mn2VReTe structure. The functional is PBE-GGA.

Lattice parameters (Å, degrees): 4.3465 4.3465 4.9010 90.00 90.00 90.00
Closest atoms and distances in Å follow each position.
Atoms (fractional coordinates):
Mn: 0.0000 0.5000 0.0000  2 V 2.17
Mn: 0.5000 0.0000 0.0000  2 V 2.17
V: 0.0000 0.0000 0.0000  4 Mn 2.17
Re: 0.5000 0.5000 0.5000  4 Te 3.07, 8 Mn 3.28
Te: 0.0000 0.0000 0.5000  2 V 2.45

Summary:
The space-group type is No. 123. The value obtained for the theoretical density is 8.51 g/cm3.

=====

#b
This record from Alexandria describes a geometry-optimized Mn2VReTe structure. The functional is PBE-GGA.

Lattice parameters (Å, degrees): 4.6726 4.6726 4.9243 90.00 90.00 90.00
Closest atoms and distances in Å follow each position.
Atoms (fractional coordinates):
Mn: 0.0000 0.5000 0.0000  2 Te 2.34
Mn: 0.5000 0.0000 0.0000  2 Te 2.34
V: 0.0000 0.0000 0.5000  4 Re 3.30, 8 Mn 3.39
Re: 0.5000 0.5000 0.5000  2 Te 2.46
Te: 0.5000 0.5000 0.0000  4 Mn 2.34, 2 Re 2.46

Summary:
The space-group type is No. 123. The value obtained for the theoretical density is 7.33 g/cm3.

=====

Which structure is the most stable? The one labeled #a.

=====

#a
This record from Alexandria describes a geometry-optimized ThMnRe structure. The functional is PBE-GGA.

Lattice parameters (Å, degrees): 5.4719 5.4719 5.4719 122.36 119.77 88.18
Closest atoms and distances in Å follow each position.
Atoms (fractional coordinates):
Th: 0.3734 0.1234 0.2500  6 Mn 3.13-3.26, 6 Re 3.20-3.22, 4 Th 3.30-3.36
Th: 0.6266 0.8766 0.7500  6 Mn 3.13-3.26, 6 Re 3.20-3.22, 4 Th 3.30-3.36
Mn: 0.0000 0.5000 0.5000  4 Re 2.74, 2 Mn 2.75
Mn: 0.5000 0.5000 0.0000  4 Re 2.74, 2 Mn 2.75
Re: 0.0000 0.0000 0.5000  2 Re 2.64, 4 Mn 2.74
Re: 0.0000 0.5000 0.0000  2 Re 2.64, 4 Mn 2.74

Summary:
The space-group type is No. 74. The value obtained for the theoretical density is 13.80 g/cm3.

=====

#b
This record from Alexandria describes a geometry-optimized ThMnRe structure. The functional is PBE-GGA.

Lattice parameters (Å, degrees): 10.8363 9.8626 5.7918 83.27 64.67 32.06
Closest atoms and distances in Å follow each position.
Atoms (fractional coordinates):
Th: 0.0299 0.7201 0.0299  4 Re 2.86-2.89
Th: 0.2799 0.9701 0.2799  4 Re 2.86-2.89
Th: 0.7201 0.0299 0.7201  4 Re 2.86-2.89
Th: 0.9701 0.2799 0.9701  4 Re 2.86-2.89
Mn: 0.2819 0.2819 0.4681  4 Re 2.66-2.95
Mn: 0.4681 0.4681 0.2819  4 Re 2.66-2.95
Mn: 0.5319 0.5319 0.7181  4 Re 2.66-2.95
Mn: 0.7181 0.7181 0.5319  4 Re 2.66-2.95
Re: 0.0014 0.0014 0.7486  4 Mn 2.66-2.95, 4 Th 2.86-2.89, 2 Re 2.90
Re: 0.2514 0.2514 0.9986  4 Mn 2.66-2.95, 4 Th 2.86-2.89, 2 Re 2.90
Re: 0.7486 0.7486 0.0014  4 Mn 2.66-2.95, 4 Th 2.86-2.89, 2 Re 2.90
Re: 0.9986 0.9986 0.2514  4 Mn 2.66-2.95, 4 Th 2.86-2.89, 2 Re 2.90

Summary:
The space-group type is No. 70. The value obtained for the theoretical density is 12.32 g/cm3.

=====

Which structure is the most stable? The one labeled #a.